# 1
Here is crystalline Tc4AgIr at its relaxed geometry from the Alexandria database. Energies are from PBE-GGA.

Lattice parameters (Å, degrees): 5.1060 5.1060 5.1060 60.00 60.00 60.00
Sites, in units of the cell vectors:
Tc 0.8740 0.3753 0.3753
Tc 0.3753 0.3753 0.8740
Tc 0.3753 0.8740 0.3753
Tc 0.3753 0.3753 0.3753
Ag 0.7500 0.7500 0.7500
Ir 0.0000 0.0000 0.0000

Computed properties:
Its crystal system is cubic. The value obtained for the total energy is -8.367 eV/atom.

---

# 2
Here is crystalline ScVIn3 at its relaxed geometry from the Alexandria database. Energies are from PBE-GGA.

Lattice parameters (Å, degrees): 5.0816 5.0816 5.0816 90.00 90.00 90.00
Sites, in units of the cell vectors:
Sc 0.5000 0.5000 0.5000
In 0.0000 0.5000 0.0000
In 0.0000 0.0000 0.5000
In 0.5000 0.0000 0.0000
V 0.0000 0.0000 0.0000

Computed properties:
Its crystal system is cubic. The relative energy among the computed polymorphs comes out at 0.000 eV/atom. The value obtained for the total energy is -4.313 eV/atom.

---

# 3
Here is crystalline Cr2AgP at its relaxed geometry from the Alexandria database. Energies are from PBE-GGA.

Lattice parameters (Å, degrees): 2.9672 2.9653 6.9314 77.56 90.00 90.00
Sites, in units of the cell vectors:
Ag 0.5000 0.5603 0.7558
Cr 0.0000 0.9160 0.0434
Cr 0.5000 0.3013 0.2718
P 0.0000 0.7225 0.4290

Computed properties:
Its crystal system is monoclinic. The value obtained for the total energy is -6.710 eV/atom.